This record from Alexandria describes an optimized crystal structure of Sm5Y3Cd2. The functional is GGA-PBE.

a b c (Å): 6.589 9.914 9.914
angles (deg): 106.94 88.63 88.63
Fractional positions:
Sm (0.250, 0.467, 0.533)
Sm (0.750, 0.533, 0.467)
Sm (0.466, 0.695, 0.799)
Sm (0.034, 0.201, 0.305)
Sm (0.534, 0.305, 0.201)
Sm (0.966, 0.799, 0.695)
Sm (0.101, 0.508, 0.192)
Sm (0.899, 0.492, 0.808)
Sm (0.601, 0.192, 0.508)
Sm (0.399, 0.808, 0.492)
Y (0.250, 0.040, 0.960)
Y (0.750, 0.960, 0.040)
Y (0.413, 0.358, 0.870)
Y (0.587, 0.642, 0.130)
Y (0.913, 0.870, 0.358)
Y (0.087, 0.130, 0.642)
Cd (0.113, 0.750, 0.040)
Cd (0.887, 0.250, 0.960)
Cd (0.613, 0.040, 0.750)
Cd (0.387, 0.960, 0.250)

Computed properties:
E (eV/atom): -4.554
Space group: C2/c (15)